The following is a DFT calculation (PBE-GGA) of CsSrCu2Br6 after structural relaxation.

Values from the calculation:
N(E_F)	1.2229	states/eV per atom
symmetry	R-3
uncorrected formation energy	-107.7	kJ per mole of atoms
final energy	-0.117	Ha/atom
size of the total moment	1.12	Bohr magnetons per cell

Unit cell a=7.522 b=7.522 c=9.642 alpha=67.04 beta=67.04 gamma=60.00
Each line ends with the local moment (μB).
Atoms (fractional coordinates):
Cs 0.000 0.000 0.000  0.00
Sr 0.500 0.500 0.500  0.00
Cu 0.762 0.762 0.714  0.31
Cu 0.238 0.238 0.286  0.31
Br 0.088 0.468 0.726  0.06
Br 0.719 0.088 0.726  0.06
Br 0.532 0.281 0.274  0.06
Br 0.912 0.532 0.274  0.06
Br 0.281 0.912 0.274  0.06
Br 0.468 0.719 0.726  0.06

The following is a DFT calculation (PBE-GGA) of Cs2SrCu2Br7 after structural relaxation.

Values from the calculation:
N(E_F)	0.4168	states/eV per atom
symmetry	C2/m
uncorrected formation energy	-116.0	kJ per mole of atoms
final energy	-0.116	Ha/atom
size of the total moment	0.00	Bohr magnetons per cell

Unit cell a=5.299 b=5.299 c=14.224 alpha=79.22 beta=79.22 gamma=89.99
Atoms (fractional coordinates):
Cs 0.821 0.821 0.357
Cs 0.179 0.179 0.643
Sr 0.000 0.000 0.000
Cu 0.594 0.594 0.813
Cu 0.406 0.406 0.187
Br 0.500 0.500 0.000
Br 0.314 0.314 0.371
Br 0.686 0.686 0.629
Br 0.919 0.419 0.162
Br 0.419 0.919 0.162
Br 0.581 0.081 0.838
Br 0.081 0.581 0.838

Q: Look up the uncorrected formation energy of the first one.
A: -107.7 kJ per mole of atoms